# 1
Computed, not measured: a relaxed MnSe crystal at the PBE level of DFT.

Output
For the uncorrected formation energy, the calculation gives -332 meV per atom. The calculated volume comes out at 55 Å³/f.u. Its density of states at the Fermi level is 0.52 states/eV per cell. The space group is P4_2/mnm.

Unit cell a=7.1690 b=7.1690 c=4.2654 alpha=90.00 beta=90.00 gamma=90.00
Last column: nearest neighbours and their distance in Å.
Positions (direct):
Mn 0.1739 0.1739 0.0000  4 Se 2.55-2.59
Mn 0.3261 0.6739 0.5000  4 Se 2.55-2.59
Mn 0.6739 0.3261 0.5000  4 Se 2.55-2.59
Mn 0.8261 0.8261 0.0000  4 Se 2.55-2.59
Se 0.1877 0.8123 0.0000  4 Mn 2.55-2.59
Se 0.3123 0.3123 0.5000  4 Mn 2.55-2.59
Se 0.6877 0.6877 0.5000  4 Mn 2.55-2.59
Se 0.8123 0.1877 0.0000  4 Mn 2.55-2.59

# 2
Computed, not measured: a relaxed LiTh2In8 crystal at the PBE level of DFT.

Output
The formation energy comes out at -282 meV/atom. The calculated volume comes out at 283 Å³/f.u. Its density of states at the Fermi level is 5.69 states/eV per cell. The space group is P4/mmm.

Unit cell a=4.7823 b=4.7823 c=12.3824 alpha=90.00 beta=90.00 gamma=90.00
Last column: nearest neighbours and their distance in Å.
Positions (direct):
Li 0.0000 0.0000 0.0000  8 In 2.83
Th 0.0000 0.0000 0.3129  12 In 3.33-3.38
Th 0.0000 0.0000 0.6871  12 In 3.33-3.38
In 0.0000 0.5000 0.1228  2 Li 2.83, 1 In 3.04
In 0.0000 0.5000 0.5000  4 Th 3.33, 8 In 3.37-3.38
In 0.0000 0.5000 0.8772  2 Li 2.83, 1 In 3.04
In 0.5000 0.0000 0.1228  2 Li 2.83, 1 In 3.04
In 0.5000 0.0000 0.5000  4 Th 3.33, 8 In 3.37-3.38
In 0.5000 0.0000 0.8772  2 Li 2.83, 1 In 3.04
In 0.5000 0.5000 0.3086  8 In 3.32-3.37, 4 Th 3.38
In 0.5000 0.5000 0.6914  8 In 3.32-3.37, 4 Th 3.38

Going through the records in order, we get total moment values of 20.0; 0.0 μB per cell.